Crystalline TlCr2Br at its relaxed geometry, computed with GGA-PBE.

Values from the calculation:
Uncorrected formation energy ... 0.352 eV/atom

Unit cell a=6.6983 b=6.6983 c=4.8119 alpha=90.36 beta=90.36 gamma=28.41
Closest atoms and distances in Å follow each position.
Fractional coordinates of all 4 atoms:
1 Cr 0.6532 0.6532 0.0023  2 Cr 2.49, 2 Br 2.66
2 Cr 0.0090 0.0090 0.9997  2 Cr 2.49
3 Br 0.3138 0.3138 0.9980  2 Cr 2.66
4 Tl 0.5239 0.5239 0.4999  6 Cr 2.92-2.93

---

Crystalline Tl2CrBr at its relaxed geometry, computed with GGA-PBE.

Values from the calculation:
Uncorrected formation energy ... 0.153 eV/atom

Unit cell a=8.0769 b=8.0769 c=4.4284 alpha=74.07 beta=74.07 gamma=23.86
Closest atoms and distances in Å follow each position.
Fractional coordinates of all 4 atoms:
1 Br 0.7500 0.7500 0.7500  4 Cr 2.77
2 Tl 0.9285 0.9285 0.0714  2 Cr 3.18, 6 Tl 3.34-3.52, 2 Br 3.50
3 Tl 0.5715 0.5715 0.4286  2 Cr 3.18, 6 Tl 3.34-3.52, 2 Br 3.50
4 Cr 0.2500 0.2500 0.2500  4 Br 2.77

---

Number 1: magnetization 0.37 Bohr magnetons per cell, relative energy among the computed polymorphs 0.29 eV/f.u.. Number 2: magnetization 4.07 Bohr magnetons per cell, relative energy among the computed polymorphs 0.33 eV/f.u..